No. 1
Entry from Alexandria via LeMat-Bulk: a relaxed structure of RbHf2Br (PBE).

Calculated values
Calculated density: 6.254 g/cm³
DOS at the Fermi energy: 1.06 states/eV per atom
Formation energy from raw total energies: 82 kJ per mole of atoms
VASP energy: -4.787 eV per atom
Symmetry: No. 122

Structure (POSCAR):
```
RbHf2Br
1.0
5.084 0.000 0.000
0.000 5.084 0.000
2.542 2.542 10.731
Rb Hf Br
2 4 2
Cartesian
5.084 2.542 5.365
0.000 0.000 0.000
2.233 3.813 2.683
6.355 5.393 8.048
3.813 4.775 8.048
2.851 1.271 2.683
2.542 5.084 5.365
2.542 2.542 0.000
```

=====

No. 2
Entry from Alexandria via LeMat-Bulk: a relaxed structure of RbHf2Br8 (PBE).

Calculated values
Calculated density: 3.655 g/cm³
DOS at the Fermi energy: 0.75 states/eV per atom
Formation energy from raw total energies: -125 kJ per mole of atoms
VASP energy: -4.407 eV per atom
Symmetry: No. 12

Structure (POSCAR):
```
RbHf2Br8
1.0
-7.118 -4.670 -2.644
2.135 -7.934 1.102
-2.248 -4.398 6.658
Br Rb Hf
8 1 2
Cartesian
-4.477 -9.131 -0.582
-6.703 -7.335 2.239
-4.314 -4.934 -0.264
-5.868 -11.426 2.641
-2.755 -7.872 5.697
-0.528 -9.668 2.876
-1.363 -5.577 2.474
-2.917 -12.069 5.379
0.000 0.000 0.000
-4.992 -13.019 4.347
-2.239 -3.983 0.768
```

=====

No. 3
Entry from Alexandria via LeMat-Bulk: a relaxed structure of Rb2Hf3Br9 (PBE).

Calculated values
Calculated density: 4.806 g/cm³
DOS at the Fermi energy: 0.29 states/eV per atom
Formation energy from raw total energies: -132 kJ per mole of atoms
VASP energy: -4.719 eV per atom
Symmetry: No. 12

Structure (POSCAR):
```
Rb2Hf3Br9
1.0
-3.926 4.007 8.977
2.240 -10.214 2.645
8.347 6.488 -2.138
Hf Rb Br
6 4 18
Cartesian
-0.057 0.975 3.330
-0.571 3.530 5.401
-1.638 0.611 6.237
6.719 -0.694 6.155
8.300 -0.330 3.248
7.232 -3.249 4.084
4.485 1.961 1.023
4.166 3.762 6.904
2.177 -1.680 8.462
2.495 -3.481 2.581
6.162 1.050 4.194
4.600 0.448 7.438
0.075 2.152 7.608
-1.226 -1.080 8.459
7.887 1.360 1.026
1.764 2.689 4.301
-0.151 -5.311 9.488
0.500 -0.770 5.291
1.150 5.420 6.598
5.131 5.063 3.333
4.897 -2.408 5.184
4.712 7.987 5.679
2.061 -0.167 2.047
1.531 -4.782 6.152
1.949 -7.706 3.806
6.586 -1.871 1.877
6.812 5.592 -0.003
5.511 -5.139 2.887
```

=====

No. 4
Entry from Alexandria via LeMat-Bulk: a relaxed structure of Rb2HfReBr6 (PBE).

Calculated values
Calculated density: 5.634 g/cm³
DOS at the Fermi energy: 0.40 states/eV per atom
Formation energy from raw total energies: -64 kJ per mole of atoms
VASP energy: -4.101 eV per atom
Symmetry: No. 139

Structure (POSCAR):
```
Rb2HfReBr6
1.0
-4.226 -6.162 -0.001
5.376 -3.687 3.652
-1.585 -3.444 6.500
Br Re Rb Hf
6 1 2 1
Cartesian
0.284 -2.436 0.903
0.077 -9.114 5.973
-1.851 -5.550 0.903
-0.512 -4.180 4.178
0.865 -7.413 2.748
3.001 -4.300 2.748
0.000 0.000 0.000
2.183 -6.028 5.988
-2.618 -7.266 4.162
0.575 -4.925 1.825
```

=====

No. 5
Entry from Alexandria via LeMat-Bulk: a relaxed structure of Rb2HfRhBr6 (PBE).

Calculated values
Calculated density: 4.869 g/cm³
DOS at the Fermi energy: 0.41 states/eV per atom
Formation energy from raw total energies: -105 kJ per mole of atoms
VASP energy: -4.016 eV per atom
Symmetry: No. 139

Structure (POSCAR):
```
Rb2HfRhBr6
1.0
-6.491 -2.924 -2.873
3.501 -6.753 -1.038
-2.992 -6.375 2.991
Rh Rb Br Hf
1 2 6 1
Cartesian
-1.495 -4.838 -1.955
-5.489 -7.069 -0.918
-0.493 -8.983 -0.001
-3.726 -10.432 -1.479
1.058 -5.817 -1.487
-0.731 -2.365 -0.956
-2.259 -7.311 -2.955
-4.049 -3.860 -2.424
-2.256 -5.620 0.560
0.000 0.000 0.000
```

=====

No. 6
Entry from Alexandria via LeMat-Bulk: a relaxed structure of Rb2HfRuBr6 (PBE).

Calculated values
Calculated density: 4.885 g/cm³
DOS at the Fermi energy: 0.00 states/eV per atom
Formation energy from raw total energies: -93 kJ per mole of atoms
VASP energy: -4.082 eV per atom
Symmetry: No. 139

Structure (POSCAR):
```
Rb2HfRuBr6
1.0
7.649 0.000 0.000
0.000 7.649 0.000
3.825 3.825 5.402
Hf Br Ru Rb
1 6 1 2
Cartesian
0.000 0.000 0.000
3.825 3.825 2.750
5.773 1.876 0.000
1.876 5.773 0.000
7.649 7.649 2.652
1.876 1.876 0.000
5.773 5.773 0.000
3.825 3.825 0.000
3.825 7.649 2.701
7.649 3.825 2.701
```